No. 1
Crystalline CaYSeN2 at its relaxed geometry. Source: the Alexandria database, functional GGA-PBEsol.

```
CaYSeN2
1.0
-1.0986 -0.1679 -4.2658
2.4819 -3.6091 -0.4972
-4.3721 -3.1790 1.2511
Ca Y Se N
1 1 1 2
direct
0.5000 0.5000 0.5000
0.0000 0.0000 0.0000
0.0000 0.0000 0.5000
0.0000 0.5000 0.0000
0.5000 0.0000 0.0000
```

Summary:
Its theoretical density is 3.6 Mg/m³. The value obtained for the polymorph energy (0 for the lowest one) is 0.0 meV/atom. The calculation puts the size of the total moment at 3.0 μB/f.u.

No. 2
Crystalline ZrReAs2Br at its relaxed geometry. Source: the Alexandria database, functional GGA-PBEsol.

```
ZrReAs2Br
1.0
-3.6423 1.6631 3.1092
-0.2713 -4.6680 2.1791
3.5779 1.3992 3.4429
Br As Re Zr
1 2 1 1
direct
0.5000 0.0000 0.0000
0.0000 0.5000 0.0000
0.0000 0.0000 0.5000
0.5000 0.5000 0.5000
0.0000 0.0000 0.0000
```

Summary:
For the total energy, the calculation gives -28.63 eV for the cell shown. Its theoretical density is 6.2 Mg/m³. The calculation puts the size of the total moment at 4.8 μB/f.u.

No. 3
Crystalline TaCu2Te at its relaxed geometry. Source: the Alexandria database, functional GGA-PBEsol.

```
TaCu2Te
1.0
3.8707 0.0000 0.0000
0.0000 3.8845 0.0000
0.0000 0.0000 4.1630
Cu Ta Te
2 1 1
direct
0.0000 0.0000 0.0000
0.0000 0.5000 0.5000
0.5000 0.5000 0.0000
0.5000 0.0000 0.5000
```

Summary:
For the total energy, the calculation gives -23.46 eV for the cell shown. Its theoretical density is 11.6 Mg/m³. The calculation puts the size of the total moment at 0.0 μB/f.u.

No. 4
Crystalline MgSiOs2 at its relaxed geometry. Source: the Alexandria database, functional GGA-PBEsol.

```
MgSiOs2
1.0
-1.5150 0.4913 -2.5425
-3.1800 -2.3813 1.4347
-1.7831 3.4194 1.7232
Os Mg Si
2 1 1
direct
0.0000 0.5000 0.0000
0.0000 0.0000 0.5000
0.5000 0.0000 0.0000
0.5000 0.5000 0.5000
```

Summary:
For the total energy, the calculation gives -31.89 eV for the cell shown. Its theoretical density is 13.4 Mg/m³. The calculation puts the size of the total moment at 0.0 μB/f.u.

No. 5
Crystalline Y3Ni at its relaxed geometry. Source: the Alexandria database, functional GGA-PBEsol.

```
Y3Ni
1.0
-2.3695 2.2394 1.0065
-1.6676 -0.4413 -2.9440
-4.4889 -6.3180 3.4898
Y Ni
3 1
direct
0.0000 0.0000 0.5000
0.5000 0.5000 0.1867
0.5000 0.5000 0.8133
0.0000 0.0000 0.0000
```

Summary:
For the energy relative to the elements, the calculation gives -143 meV/atom. Its theoretical density is 5.5 Mg/m³. The calculation puts the size of the total moment at 0.0 μB/f.u.

No. 6
Crystalline Rb2ScAgBr6 at its relaxed geometry. Source: the Alexandria database, functional GGA-PBEsol.

```
Rb2ScAgBr6
1.0
7.6195 0.0000 0.0000
3.8098 6.5987 0.0000
3.8098 2.1996 6.2213
Br Rb Sc Ag
6 2 1 1
direct
0.2435 0.7565 0.7565
0.2435 0.2435 0.7565
0.7565 0.2435 0.2435
0.7565 0.2435 0.7565
0.2435 0.7565 0.2435
0.7565 0.7565 0.2435
0.7500 0.7500 0.7500
0.2500 0.2500 0.2500
0.0000 0.0000 0.0000
0.5000 0.5000 0.5000
```

Summary:
For the total energy, the calculation gives -37.68 eV for the cell shown. Its theoretical density is 4.3 Mg/m³. The calculation puts the size of the total moment at 0.0 μB/f.u.

No. 7
Crystalline KBaIr2 at its relaxed geometry. Source: the Alexandria database, functional GGA-PBEsol.

```
KBaIr2
1.0
-2.9912 0.0364 -0.1126
-0.0787 -3.8985 0.8302
-0.3291 2.0076 9.3963
K Ba Ir
1 1 2
direct
0.0000 0.0000 0.4104
0.5000 0.5000 0.8497
0.0000 0.0000 0.0843
0.5000 0.5000 0.1556
```

Summary:
For the energy relative to the elements, the calculation gives 381 meV/atom. Its theoretical density is 8.1 Mg/m³. The calculation puts the size of the total moment at 0.2 μB/f.u.

No. 8
Crystalline GaSbS2N at its relaxed geometry. Source: the Alexandria database, functional GGA-PBEsol.

```
GaSbS2N
1.0
-0.5060 3.8987 -0.5036
-4.4403 -0.8543 -2.1521
-2.2255 0.2894 4.4767
N S Sb Ga
1 2 1 1
direct
0.5000 0.0000 0.0000
0.0000 0.0000 0.5000
0.0000 0.5000 0.0000
0.0000 0.0000 0.0000
0.5000 0.5000 0.5000
```

Summary:
For the total energy, the calculation gives -22.05 eV for the cell shown. Its theoretical density is 4.5 Mg/m³. The calculation puts the size of the total moment at 0.4 μB/f.u.